# 1
Density functional theory data (SCAN) for YAuSe2 at its PBEsol-relaxed geometry.

Properties
mass density	6.26	g/cm3
E_tot	-35.58	eV per atom

The structure in CIF format:
```
data_YAuSe2
_chemical_formula_sum 'Y2 Au2 Se4'
_symmetry_space_group_name_H-M 'C 1 2/m 1'
_symmetry_Int_Tables_number 12
_cell_length_a 7.294
_cell_length_b 4.195
_cell_length_c 8.036
_cell_angle_alpha 90.00
_cell_angle_beta 106.60
_cell_angle_gamma 90.00
loop_
_symmetry_equiv_pos_as_xyz
'x,y,z'
'-x,-y,-z'
'-x,y,-z'
'x,-y,z'
'x+1/2,y+1/2,z'
'-x+1/2,-y+1/2,-z'
'-x+1/2,y+1/2,-z'
'x+1/2,-y+1/2,z'
loop_
_atom_site_label
_atom_site_type_symbol
_atom_site_fract_x
_atom_site_fract_y
_atom_site_fract_z
Y1 Y 0.000 0.000 0.000
Au1 Au 0.000 0.500 0.500
Se1 Se 0.108 0.500 0.809
```



# 2
Density functional theory data (SCAN) for ZnAsIr2 at its PBEsol-relaxed geometry.

Properties
mass density	15.18	g/cm3
energy relative to the elements	-0.004	eV per atom
E_tot	-43.98	eV per atom

The structure in CIF format:
```
data_ZnAsIr2
_chemical_formula_sum 'Zn3 As3 Ir6'
_symmetry_space_group_name_H-M 'R -3 m'
_symmetry_Int_Tables_number 166
_symmetry_space_group_name_Hall '-R 3 2"'
_cell_length_a 2.8489
_cell_length_b 2.8489
_cell_length_c 24.4932
_cell_angle_alpha 90.00
_cell_angle_beta 90.00
_cell_angle_gamma 120.00
loop_
_atom_site_label
_atom_site_type_symbol
_atom_site_fract_x
_atom_site_fract_y
_atom_site_fract_z
Zn1 Zn 0.0000 0.0000 0.0000
As1 As 0.0000 0.0000 0.5000
Ir1 Ir 0.0000 0.0000 0.2482
```



# 3
Density functional theory data (SCAN) for Ag2OsRh at its PBEsol-relaxed geometry.

Properties
mass density	14.20	g/cm3
energy relative to the elements	0.515	eV per atom
E_tot	-41.58	eV per atom

The structure in CIF format:
```
data_Ag2OsRh
_chemical_formula_sum 'Ag4 Os2 Rh2'
_symmetry_space_group_name_H-M 'C 1 2/m 1'
_symmetry_Int_Tables_number 12
_cell_length_a 9.427
_cell_length_b 2.702
_cell_length_c 4.734
_cell_angle_alpha 90.00
_cell_angle_beta 99.14
_cell_angle_gamma 90.00
loop_
_symmetry_equiv_pos_as_xyz
'x,y,z'
'-x,-y,-z'
'-x,y,-z'
'x,-y,z'
'x+1/2,y+1/2,z'
'-x+1/2,-y+1/2,-z'
'-x+1/2,y+1/2,-z'
'x+1/2,-y+1/2,z'
loop_
_atom_site_label
_atom_site_type_symbol
_atom_site_fract_x
_atom_site_fract_y
_atom_site_fract_z
Ag1 Ag 0.249 0.000 0.250
Os1 Os 0.000 0.500 0.000
Rh1 Rh 0.000 0.000 0.500
```



# 4
Density functional theory data (SCAN) for BaMn2Au at its PBEsol-relaxed geometry.

Properties
mass density	7.57	g/cm3
energy relative to the elements	-0.230	eV per atom
E_tot	-36.53	eV per atom

The structure in CIF format:
```
data_BaMn2Au
_chemical_formula_sum 'Ba3 Mn6 Au3'
_symmetry_space_group_name_H-M 'R -3 m'
_symmetry_Int_Tables_number 166
_symmetry_space_group_name_Hall '-R 3 2"'
_cell_length_a 4.4562
_cell_length_b 4.4562
_cell_length_c 17.0074
_cell_angle_alpha 90.00
_cell_angle_beta 90.00
_cell_angle_gamma 120.00
loop_
_atom_site_label
_atom_site_type_symbol
_atom_site_fract_x
_atom_site_fract_y
_atom_site_fract_z
Ba1 Ba 0.0000 0.0000 0.0000
Mn1 Mn 0.0000 0.0000 0.1966
Au1 Au 0.0000 0.0000 0.5000
```



# 5
Density functional theory data (SCAN) for SrYZr2Pb at its PBEsol-relaxed geometry.

Properties
mass density	6.06	g/cm3
energy relative to the elements	1.098	eV per atom
E_tot	-36.36	eV per atom

The structure in CIF format:
```
data_SrYZr2Pb
_chemical_formula_sum 'Sr1 Y1 Zr2 Pb1'
_symmetry_space_group_name_H-M 'P 4/m m m'
_symmetry_Int_Tables_number 123
_symmetry_space_group_name_Hall '-P 4 2'
_cell_length_a 5.226
_cell_length_b 5.226
_cell_length_c 5.679
_cell_angle_alpha 90.00
_cell_angle_beta 90.00
_cell_angle_gamma 90.00
loop_
_atom_site_label
_atom_site_type_symbol
_atom_site_fract_x
_atom_site_fract_y
_atom_site_fract_z
Sr1 Sr 0.000 0.000 0.000
Y1 Y 0.000 0.000 0.500
Zr1 Zr 0.000 0.500 0.500
Pb1 Pb 0.500 0.500 0.000
```



# 6
Density functional theory data (SCAN) for K2TcBr at its PBEsol-relaxed geometry.

Properties
mass density	3.18	g/cm3
E_tot	-17.42	eV per atom

The structure in CIF format:
```
data_K2TcBr
_chemical_formula_sum 'K4 Tc2 Br2'
_symmetry_space_group_name_H-M 'I -4 m 2'
_symmetry_Int_Tables_number 119
_symmetry_space_group_name_Hall 'I -4 -2'
_cell_length_a 4.658
_cell_length_b 4.658
_cell_length_c 12.314
_cell_angle_alpha 90.00
_cell_angle_beta 90.00
_cell_angle_gamma 90.00
loop_
_atom_site_label
_atom_site_type_symbol
_atom_site_fract_x
_atom_site_fract_y
_atom_site_fract_z
K1 K 0.000 0.000 0.000
K2 K 0.000 0.500 0.250
Tc1 Tc 0.000 0.000 0.500
Br1 Br 0.000 0.500 0.750
```



# 7
Density functional theory data (SCAN) for YMoCl2 at its PBEsol-relaxed geometry.

Properties
mass density	5.90	g/cm3
E_tot	-19.90	eV per atom

The structure in CIF format:
```
data_YMoCl2
_chemical_formula_sum 'Y3 Mo3 Cl6'
_symmetry_space_group_name_H-M 'R -3 m'
_symmetry_Int_Tables_number 166
_symmetry_space_group_name_Hall '-R 3 2"'
_cell_length_a 3.1287
_cell_length_b 3.1287
_cell_length_c 25.4844
_cell_angle_alpha 90.00
_cell_angle_beta 90.00
_cell_angle_gamma 120.00
loop_
_atom_site_label
_atom_site_type_symbol
_atom_site_fract_x
_atom_site_fract_y
_atom_site_fract_z
Y1 Y 0.0000 0.0000 0.0000
Mo1 Mo 0.0000 0.0000 0.5000
Cl1 Cl 0.0000 0.0000 0.2486
```



# 8
Density functional theory data (SCAN) for Ba2SrBr at its PBEsol-relaxed geometry.

Properties
mass density	4.14	g/cm3
E_tot	-30.93	eV per atom

The structure in CIF format:
```
data_Ba2SrBr
_chemical_formula_sum 'Ba2 Sr1 Br1'
_symmetry_space_group_name_H-M 'P 4 m m'
_symmetry_Int_Tables_number 99
_cell_length_a 3.977
_cell_length_b 3.977
_cell_length_c 11.209
_cell_angle_alpha 90.00
_cell_angle_beta 90.00
_cell_angle_gamma 90.00
loop_
_symmetry_equiv_pos_as_xyz
'x,y,z'
'-y,x,z'
'-x,-y,z'
'y,-x,z'
'-x,y,z'
'y,x,z'
'x,-y,z'
'-y,-x,z'
loop_
_atom_site_label
_atom_site_type_symbol
_atom_site_fract_x
_atom_site_fract_y
_atom_site_fract_z
Ba1 Ba 0.000 0.000 0.000
Ba2 Ba 0.500 0.500 0.311
Sr1 Sr 0.500 0.500 0.708
Br1 Br 0.000 0.000 0.515
```